*P*
## BiPd3S (PBE-GGA)

Data for BiPd3S after structural relaxation.

a b c (Å): 5.3852 6.3345 6.3348
angles (deg): 120.05 90.00 90.00
Sites, in units of the cell vectors:
Bi: 0.2503 0.3333 0.6667
Bi: 0.7497 0.6667 0.3333
Pd: 0.7501 0.1873 0.8127
Pd: 0.2499 0.8129 0.6252
Pd: 0.7501 0.6253 0.8130
Pd: 0.7501 0.1871 0.3748
Pd: 0.2499 0.3747 0.1870
Pd: 0.2499 0.8127 0.1873
S: 0.5000 0.0000 0.0000
S: 0.0000 0.0000 0.0000

---

*Q*
## BiPd3S (PBE-GGA)

Data for BiPd3S after structural relaxation.

a b c (Å): 5.0608 5.0608 5.0608
angles (deg): 90.00 90.00 90.00
Sites, in units of the cell vectors:
Pd: 0.5000 0.0000 0.0000
Pd: 0.0000 0.5000 0.0000
Pd: 0.0000 0.0000 0.5000
S: 0.5000 0.5000 0.5000
Bi: 0.0000 0.0000 0.0000

---

Relative to the most stable one, in meV/atom, the structures come out at *P* 0; *Q* 985.

---

*P*
## Bi2SbPd8 (PBE-GGA)

Data for Bi2SbPd8 after structural relaxation.

a b c (Å): 4.3327 6.2448 7.8642
angles (deg): 104.80 105.99 90.00
Sites, in units of the cell vectors:
Pd: 0.8468 0.8008 0.6935
Pd: 0.9693 0.2508 0.9386
Pd: 0.6680 0.9190 0.3361
Pd: 0.0307 0.7492 0.0614
Pd: 0.1532 0.1992 0.3065
Pd: 0.3320 0.0810 0.6639
Pd: 0.4156 0.5607 0.8312
Pd: 0.5844 0.4393 0.1688
Bi: 0.2017 0.6623 0.4033
Bi: 0.7983 0.3377 0.5967
Sb: 0.5000 0.0000 0.0000

---

*Q*
## Bi2SbPd8 (PBE-GGA)

Data for Bi2SbPd8 after structural relaxation.

a b c (Å): 4.0308 8.2281 7.6216
angles (deg): 122.67 105.33 90.00
Sites, in units of the cell vectors:
Pd: 0.3360 0.5889 0.6720
Pd: 0.0000 0.2359 0.0000
Pd: 0.6640 0.4111 0.3280
Pd: 0.0000 0.7641 0.0000
Pd: 0.1729 0.1729 0.3458
Pd: 0.8271 0.8271 0.6542
Pd: 0.3360 0.0831 0.6720
Pd: 0.6640 0.9169 0.3280
Sb: 0.5000 0.0000 0.0000
Bi: 0.8476 0.3476 0.6952
Bi: 0.1524 0.6524 0.3048

---

Relative to the most stable one, in meV/atom, the structures come out at *P* 0; *Q* 12.

---

*P*
## BiSbTe2Pd (PBE-GGA)

Data for BiSbTe2Pd after structural relaxation.

a b c (Å): 5.9072 5.9072 5.7949
angles (deg): 90.00 90.00 90.00
Last column: magnetic moment on the atom in μB.
Sites, in units of the cell vectors:
Pd: 0.5000 0.5000 0.5000  0.05
Bi: 0.0000 0.0000 0.0000  0.00
Te: 0.5000 0.0000 0.0000  0.02
Te: 0.0000 0.5000 0.0000  0.02
Sb: 0.0000 0.0000 0.5000  0.13

---

*Q*
## BiSbTe2Pd (PBE-GGA)

Data for BiSbTe2Pd after structural relaxation.

a b c (Å): 5.3711 5.3711 5.1418
angles (deg): 90.00 90.00 90.00
Sites, in units of the cell vectors:
Te: 0.0000 0.5000 0.0000
Te: 0.5000 0.0000 0.0000
Sb: 0.0000 0.0000 0.5000
Bi: 0.5000 0.5000 0.5000
Pd: 0.0000 0.0000 0.0000

---

Relative to the most stable one, in meV/atom, the structures come out at *P* 826; *Q* 0.

---

*P*
## ScBi3Pd (PBE-GGA)

Data for ScBi3Pd after structural relaxation.

a b c (Å): 5.5136 5.5136 5.5136
angles (deg): 90.00 90.00 90.00
Sites, in units of the cell vectors:
Bi: 0.5000 0.0000 0.0000
Bi: 0.0000 0.0000 0.5000
Bi: 0.0000 0.5000 0.0000
Sc: 0.0000 0.0000 0.0000
Pd: 0.5000 0.5000 0.5000

---

*Q*
## ScBi3Pd (PBE-GGA)

Data for ScBi3Pd after structural relaxation.

a b c (Å): 5.3714 5.3714 5.3714
angles (deg): 90.00 90.00 90.00
Sites, in units of the cell vectors:
Pd: 0.0000 0.0000 0.0000
Sc: 0.5000 0.5000 0.5000
Bi: 0.0000 0.0000 0.5000
Bi: 0.5000 0.0000 0.0000
Bi: 0.0000 0.5000 0.0000

---

Relative to the most stable one, in meV/atom, the structures come out at *P* 266; *Q* 0.

---

*P*
## Sc2BiPd2 (PBE-GGA)

Data for Sc2BiPd2 after structural relaxation.

a b c (Å): 4.5272 4.5272 6.3064
angles (deg): 68.96 68.96 90.00
Sites, in units of the cell vectors:
Bi: 0.0000 0.0000 0.0000
Sc: 0.2500 0.7500 0.5000
Sc: 0.7500 0.2500 0.5000
Pd: 0.6185 0.6185 0.7630
Pd: 0.3815 0.3815 0.2370

---

*Q*
## Sc2BiPd2 (PBE-GGA)

Data for Sc2BiPd2 after structural relaxation.

a b c (Å): 7.9159 7.9159 3.3531
angles (deg): 90.00 90.00 90.00
Sites, in units of the cell vectors:
Pd: 0.1302 0.6302 0.5000
Pd: 0.6302 0.8698 0.5000
Pd: 0.3698 0.1302 0.5000
Pd: 0.8698 0.3698 0.5000
Bi: 0.0000 0.0000 0.0000
Bi: 0.5000 0.5000 0.0000
Sc: 0.3476 0.8476 0.0000
Sc: 0.1524 0.3476 0.0000
Sc: 0.6524 0.1524 0.0000
Sc: 0.8476 0.6524 0.0000

---

*R*
## Sc2BiPd2 (PBE-GGA)

Data for Sc2BiPd2 after structural relaxation.

a b c (Å): 7.6993 7.6993 3.4106
angles (deg): 90.00 90.00 90.00
Sites, in units of the cell vectors:
Pd: 0.1277 0.3723 0.0000
Pd: 0.8723 0.6277 0.0000
Pd: 0.6277 0.1277 0.0000
Pd: 0.3723 0.8723 0.0000
Sc: 0.3360 0.1640 0.5000
Sc: 0.6640 0.8360 0.5000
Sc: 0.1640 0.6640 0.5000
Sc: 0.8360 0.3360 0.5000
Bi: 0.0000 0.0000 0.0000
Bi: 0.5000 0.5000 0.0000

---

Relative to the most stable one, in meV/atom, the structures come out at *P* 227; *Q* 182; *R* 0.

---

*P*
## ScBi2Pd2 (PBE-GGA)

Data for ScBi2Pd2 after structural relaxation.

a b c (Å): 7.2915 7.2915 4.1769
angles (deg): 90.00 90.00 90.00
Sites, in units of the cell vectors:
Sc: 0.5000 0.5000 0.0000
Sc: 0.0000 0.0000 0.0000
Bi: 0.8242 0.3242 0.5000
Bi: 0.1758 0.6758 0.5000
Bi: 0.3242 0.1758 0.5000
Bi: 0.6758 0.8242 0.5000
Pd: 0.6324 0.1324 0.0000
Pd: 0.8676 0.6324 0.0000
Pd: 0.1324 0.3676 0.0000
Pd: 0.3676 0.8676 0.0000

---

*Q*
## ScBi2Pd2 (PBE-GGA)

Data for ScBi2Pd2 after structural relaxation.

a b c (Å): 8.0641 8.0641 3.4395
angles (deg): 90.00 90.00 90.00
Last column: magnetic moment on the atom in μB.
Sites, in units of the cell vectors:
Pd: 0.1422 0.6422 0.5000  0.01
Pd: 0.6422 0.8578 0.5000  0.00
Pd: 0.3578 0.1422 0.5000  0.00
Pd: 0.8578 0.3578 0.5000  0.01
Bi: 0.1562 0.3438 0.0000  0.00
Bi: 0.3438 0.8438 0.0000  0.00
Bi: 0.8438 0.6562 0.0000  0.00
Bi: 0.6562 0.1562 0.0000  0.00
Sc: 0.5000 0.5000 0.0000  0.27
Sc: 0.0000 0.0000 0.0000  0.27

---

Relative to the most stable one, in meV/atom, the structures come out at *P* 0; *Q* 136.

---

*P*
## BiPdSe3 (PBE-GGA)

Data for BiPdSe3 after structural relaxation.

a b c (Å): 4.9613 4.9613 4.9613
angles (deg): 90.00 90.00 90.00
Sites, in units of the cell vectors:
Pd: 0.0000 0.0000 0.0000
Se: 0.5000 0.0000 0.0000
Se: 0.0000 0.5000 0.0000
Se: 0.0000 0.0000 0.5000
Bi: 0.5000 0.5000 0.5000

---

*Q*
## BiPdSe3 (PBE-GGA)

Data for BiPdSe3 after structural relaxation.

a b c (Å): 4.0752 8.8123 8.8736
angles (deg): 113.55 90.00 103.37
Sites, in units of the cell vectors:
Bi: 0.6144 0.2288 0.3293
Bi: 0.3856 0.7712 0.6707
Se: 0.6696 0.3392 0.0132
Se: 0.8071 0.6142 0.4137
Se: 0.9880 0.9759 0.3158
Se: 0.3304 0.6608 0.9868
Se: 0.1929 0.3858 0.5863
Se: 0.0120 0.0241 0.6842
Pd: 0.8315 0.6629 0.1565
Pd: 0.1685 0.3371 0.8435

---

Relative to the most stable one, in meV/atom, the structures come out at *P* 282; *Q* 0.

---

*P*
## Bi2Pd2Se (PBE-GGA)

Data for Bi2Pd2Se after structural relaxation.

a b c (Å): 3.9120 3.9120 8.1884
angles (deg): 76.18 76.18 90.00
Sites, in units of the cell vectors:
Pd: 0.2500 0.7500 0.5000
Pd: 0.7500 0.2500 0.5000
Bi: 0.6169 0.6169 0.7661
Bi: 0.3831 0.3831 0.2339
Se: 0.0000 0.0000 0.0000

---

*Q*
## Bi2Pd2Se (PBE-GGA)

Data for Bi2Pd2Se after structural relaxation.

a b c (Å): 7.4626 7.4626 3.9962
angles (deg): 90.00 90.00 90.00
Sites, in units of the cell vectors:
Pd: 0.3644 0.8644 0.0000
Pd: 0.6356 0.1356 0.0000
Pd: 0.1356 0.3644 0.0000
Pd: 0.8644 0.6356 0.0000
Bi: 0.1600 0.6600 0.5000
Bi: 0.8400 0.3400 0.5000
Bi: 0.6600 0.8400 0.5000
Bi: 0.3400 0.1600 0.5000
Se: 0.0000 0.0000 0.0000
Se: 0.5000 0.5000 0.0000

---

Relative to the most stable one, in meV/atom, the structures come out at *P* 49; *Q* 0.

---

*P*
## SiBi3Pd (PBE-GGA)

Data for SiBi3Pd after structural relaxation.

a b c (Å): 5.3423 5.3423 5.3423
angles (deg): 90.00 90.00 90.00
Sites, in units of the cell vectors:
Si: 0.0000 0.0000 0.0000
Bi: 0.5000 0.0000 0.0000
Bi: 0.0000 0.0000 0.5000
Bi: 0.0000 0.5000 0.0000
Pd: 0.5000 0.5000 0.5000

---

*Q*
## SiBi3Pd (PBE-GGA)

Data for SiBi3Pd after structural relaxation.

a b c (Å): 5.3700 5.3700 5.3700
angles (deg): 90.00 90.00 90.00
Sites, in units of the cell vectors:
Si: 0.5000 0.5000 0.5000
Bi: 0.0000 0.5000 0.0000
Bi: 0.0000 0.0000 0.5000
Bi: 0.5000 0.0000 0.0000
Pd: 0.0000 0.0000 0.0000

---

Relative to the most stable one, in meV/atom, the structures come out at *P* 157; *Q* 0.

---

*P*
## SiBiPd3 (PBE-GGA)

Data for SiBiPd3 after structural relaxation.

a b c (Å): 5.0399 5.0399 5.0399
angles (deg): 90.00 90.00 90.00
Sites, in units of the cell vectors:
Si: 0.5000 0.5000 0.5000
Pd: 0.0000 0.0000 0.5000
Pd: 0.0000 0.5000 0.0000
Pd: 0.5000 0.0000 0.0000
Bi: 0.0000 0.0000 0.0000

---

*Q*
## SiBiPd3 (PBE-GGA)

Data for SiBiPd3 after structural relaxation.

a b c (Å): 4.6066 4.6066 4.6066
angles (deg): 90.00 90.00 90.00
Sites, in units of the cell vectors:
Si: 0.0000 0.0000 0.0000
Pd: 0.5000 0.0000 0.0000
Pd: 0.0000 0.0000 0.5000
Pd: 0.0000 0.5000 0.0000
Bi: 0.5000 0.5000 0.5000

---

Relative to the most stable one, in meV/atom, the structures come out at *P* 1125; *Q* 0.

---

*P*
## SiBi2Pd2 (PBE-GGA)

Data for SiBi2Pd2 after structural relaxation.

a b c (Å): 8.1794 8.1794 3.3344
angles (deg): 90.00 90.00 90.00
Sites, in units of the cell vectors:
Bi: 0.3305 0.8305 0.0000
Bi: 0.1695 0.3305 0.0000
Bi: 0.6695 0.1695 0.0000
Bi: 0.8305 0.6695 0.0000
Pd: 0.8755 0.3755 0.5000
Pd: 0.1245 0.6245 0.5000
Pd: 0.3755 0.1245 0.5000
Pd: 0.6245 0.8755 0.5000
Si: 0.0000 0.0000 0.0000
Si: 0.5000 0.5000 0.0000

---

*Q*
## SiBi2Pd2 (PBE-GGA)

Data for SiBi2Pd2 after structural relaxation.

a b c (Å): 6.4401 6.4401 5.2473
angles (deg): 90.00 90.00 90.00
Sites, in units of the cell vectors:
Bi: 0.1840 0.6840 0.5000
Bi: 0.3160 0.1840 0.5000
Bi: 0.6840 0.8160 0.5000
Bi: 0.8160 0.3160 0.5000
Si: 0.0000 0.0000 0.0000
Si: 0.5000 0.5000 0.0000
Pd: 0.6600 0.1600 0.0000
Pd: 0.8400 0.6600 0.0000
Pd: 0.3400 0.8400 0.0000
Pd: 0.1600 0.3400 0.0000

---

*R*
## SiBi2Pd2 (PBE-GGA)

Data for SiBi2Pd2 after structural relaxation.

a b c (Å): 3.8480 3.8480 8.1574
angles (deg): 76.36 76.36 90.00
Sites, in units of the cell vectors:
Bi: 0.6116 0.6116 0.7769
Bi: 0.3884 0.3884 0.2231
Si: 0.0000 0.0000 0.0000
Pd: 0.7500 0.2500 0.5000
Pd: 0.2500 0.7500 0.5000

---

Relative to the most stable one, in meV/atom, the structures come out at *P* 299; *Q* 0; *R* 285.